# 1
Below is a relaxed CaY2Mn crystal, with properties calculated at the PBE level.

Output
Its total moment is 8.9 Bohr magnetons per cell. Its crystal system is trigonal. The energy above the most stable polymorph in this dataset comes out at 164 meV/atom. For the formation energy, the calculation gives 28.5 kJ/mol of atoms.

abc: 3.5583 3.5583 32.5169
angles: 90.00 90.00 120.00
Last column: nearest neighbours and their distance in Å.
Fractional coordinates of all 12 atoms:
1 Ca 0.0000 0.0000 0.0000  6 Ca 3.56, 6 Y 3.81
2 Ca 0.3333 0.6667 0.6667  6 Ca 3.56, 6 Y 3.81
3 Ca 0.6667 0.3333 0.3333  6 Ca 3.56, 6 Y 3.81
4 Y 0.0000 0.0000 0.2348  3 Mn 3.02
5 Y 0.0000 0.0000 0.7652  3 Mn 3.02
6 Y 0.3333 0.6667 0.4318  3 Mn 3.02
7 Y 0.3333 0.6667 0.9015  3 Mn 3.02
8 Y 0.6667 0.3333 0.0985  3 Mn 3.02
9 Y 0.6667 0.3333 0.5682  3 Mn 3.02
10 Mn 0.0000 0.0000 0.5000  6 Y 3.02
11 Mn 0.3333 0.6667 0.1667  6 Y 3.02
12 Mn 0.6667 0.3333 0.8333  6 Y 3.02

***

# 2
Below is a relaxed CaY3Mn crystal, with properties calculated at the PBE level.

Output
Its total moment is 0.8 Bohr magnetons per cell. Its crystal system is cubic. The energy above the most stable polymorph in this dataset comes out at 0 meV/atom. For the formation energy, the calculation gives 16.4 kJ/mol of atoms.

abc: 5.3713 5.3713 5.3713
angles: 90.00 90.00 90.00
Last column: nearest neighbours and their distance in Å.
Fractional coordinates of all 5 atoms:
1 Ca 0.0000 0.0000 0.0000  12 Y 3.80
2 Y 0.0000 0.5000 0.5000  2 Mn 2.69
3 Y 0.5000 0.0000 0.5000  2 Mn 2.69
4 Y 0.5000 0.5000 0.0000  2 Mn 2.69
5 Mn 0.5000 0.5000 0.5000  6 Y 2.69

***

# 3
Below is a relaxed CaYMn3 crystal, with properties calculated at the PBE level.

Output
Its total moment is 10.8 Bohr magnetons per cell. Its crystal system is cubic. The energy above the most stable polymorph in this dataset comes out at 0 meV/atom. For the formation energy, the calculation gives 109.5 kJ/mol of atoms.

abc: 5.1209 5.1209 5.1209
angles: 90.00 90.00 90.00
Last column: nearest neighbours and their distance in Å.
Fractional coordinates of all 5 atoms:
1 Ca 0.0000 0.0000 0.0000  12 Mn 3.62
2 Y 0.5000 0.5000 0.5000  6 Mn 2.56
3 Mn 0.0000 0.5000 0.5000  2 Y 2.56
4 Mn 0.5000 0.0000 0.5000  2 Y 2.56
5 Mn 0.5000 0.5000 0.0000  2 Y 2.56

***

# 4
Below is a relaxed CaYMn2 crystal, with properties calculated at the PBE level.

Output
Its total moment is 12.4 Bohr magnetons per cell. Its crystal system is orthorhombic. For the formation energy, the calculation gives 32.8 kJ/mol of atoms.

abc: 4.5518 3.6866 11.5305
angles: 90.00 90.00 90.00
Last column: nearest neighbours and their distance in Å.
Fractional coordinates of all 8 atoms:
1 Ca 0.0000 0.0000 0.0000  7 Mn 3.12-3.25
2 Ca 0.0000 0.5000 0.5000  7 Mn 3.12-3.25
3 Y 0.5000 0.0000 0.2973  6 Mn 2.98-3.07
4 Y 0.5000 0.5000 0.7973  6 Mn 2.98-3.07
5 Mn 0.0000 0.0000 0.7182  2 Mn 2.69
6 Mn 0.0000 0.5000 0.2182  2 Mn 2.69
7 Mn 0.5000 0.0000 0.5942  2 Mn 2.69, 2 Y 2.98
8 Mn 0.5000 0.5000 0.0942  2 Mn 2.69, 2 Y 2.98

***

# 5
Below is a relaxed CaYMn2 crystal, with properties calculated at the PBE level.

Output
Its total moment is 4.5 Bohr magnetons per cell. Its crystal system is tetragonal. For the formation energy, the calculation gives 36.3 kJ/mol of atoms.

abc: 3.3261 3.3261 8.1144
angles: 90.00 90.00 90.00
Last column: nearest neighbours and their distance in Å.
Fractional coordinates of all 4 atoms:
1 Ca 0.0000 0.0000 0.0000  5 Mn 3.00-3.16, 4 Ca 3.33
2 Y 0.5000 0.5000 0.6060  5 Mn 2.80-3.03
3 Mn 0.0000 0.0000 0.3697  4 Mn 2.51
4 Mn 0.5000 0.5000 0.2605  4 Mn 2.51, 1 Y 2.80

***

# 6
Below is a relaxed CaY2Mn crystal, with properties calculated at the PBE level.

Output
Its total moment is 5.1 Bohr magnetons per cell. Its crystal system is tetragonal. The energy above the most stable polymorph in this dataset comes out at 234 meV/atom. For the formation energy, the calculation gives 35.3 kJ/mol of atoms.

abc: 4.7780 4.7780 10.0579
angles: 90.00 90.00 90.00
Last column: nearest neighbours and their distance in Å.
Fractional coordinates of all 8 atoms:
1 Ca 0.0000 0.0000 0.0000  8 Y 3.38-3.47, 4 Mn 3.47
2 Ca 0.5000 0.5000 0.5000  8 Y 3.38-3.47, 4 Mn 3.47
3 Y 0.0000 0.0000 0.5000  4 Ca 3.38, 4 Mn 3.47, 4 Y 3.47
4 Y 0.0000 0.5000 0.2500  4 Mn 3.38, 4 Ca 3.47, 4 Y 3.47
5 Y 0.5000 0.0000 0.7500  4 Mn 3.38, 4 Ca 3.47, 4 Y 3.47
6 Y 0.5000 0.5000 0.0000  4 Ca 3.38, 4 Mn 3.47, 4 Y 3.47
7 Mn 0.0000 0.5000 0.7500  8 Y 3.38-3.47, 4 Ca 3.47
8 Mn 0.5000 0.0000 0.2500  8 Y 3.38-3.47, 4 Ca 3.47

***

# 7
Below is a relaxed CaYMn2 crystal, with properties calculated at the PBE level.

Output
Its total moment is 24.8 Bohr magnetons per cell. Its crystal system is tetragonal. For the formation energy, the calculation gives 70.5 kJ/mol of atoms.

abc: 7.8542 7.8542 6.2051
angles: 90.00 90.00 90.00
Last column: nearest neighbours and their distance in Å.
Fractional coordinates of all 16 atoms:
1 Ca 0.0000 0.0000 0.0000  4 Mn 2.89, 2 Y 3.10
2 Ca 0.0000 0.5000 0.2500  4 Mn 2.89, 2 Y 3.10
3 Ca 0.5000 0.0000 0.7500  4 Mn 2.89, 2 Y 3.10
4 Ca 0.5000 0.5000 0.5000  4 Mn 2.89, 2 Y 3.10
5 Y 0.0000 0.0000 0.5000  4 Mn 2.88, 2 Ca 3.10
6 Y 0.0000 0.5000 0.7500  4 Mn 2.88, 2 Ca 3.10
7 Y 0.5000 0.0000 0.2500  4 Mn 2.88, 2 Ca 3.10
8 Y 0.5000 0.5000 0.0000  4 Mn 2.88, 2 Ca 3.10
9 Mn 0.2489 0.2500 0.6250  2 Y 2.88, 2 Ca 2.89, 2 Mn 3.10
10 Mn 0.2500 0.7489 0.8750  2 Y 2.88, 2 Ca 2.89, 2 Mn 3.10
11 Mn 0.2500 0.7511 0.3750  2 Y 2.88, 2 Ca 2.89, 2 Mn 3.10
12 Mn 0.2511 0.2500 0.1250  2 Y 2.88, 2 Ca 2.89, 2 Mn 3.10
13 Mn 0.7489 0.7500 0.1250  2 Y 2.88, 2 Ca 2.89, 2 Mn 3.10
14 Mn 0.7500 0.2489 0.3750  2 Y 2.88, 2 Ca 2.89, 2 Mn 3.10
15 Mn 0.7500 0.2511 0.8750  2 Y 2.88, 2 Ca 2.89, 2 Mn 3.10
16 Mn 0.7511 0.7500 0.6250  2 Y 2.88, 2 Ca 2.89, 2 Mn 3.10

***

# 8
Below is a relaxed CaY3Mn crystal, with properties calculated at the PBE level.

Output
Its total moment is 4.7 Bohr magnetons per cell. Its crystal system is cubic. The energy above the most stable polymorph in this dataset comes out at 1096 meV/atom. For the formation energy, the calculation gives 122.2 kJ/mol of atoms.

abc: 5.5337 5.5337 5.5337
angles: 90.00 90.00 90.00
Last column: nearest neighbours and their distance in Å.
Fractional coordinates of all 5 atoms:
1 Ca 0.0000 0.0000 0.0000  6 Y 2.77
2 Y 0.0000 0.0000 0.5000  2 Ca 2.77
3 Y 0.0000 0.5000 0.0000  2 Ca 2.77
4 Y 0.5000 0.0000 0.0000  2 Ca 2.77
5 Mn 0.5000 0.5000 0.5000  12 Y 3.91

***

# 9
Below is a relaxed CaYMn crystal, with properties calculated at the PBE level.

Output
Its total moment is 6.5 Bohr magnetons per cell. Its crystal system is tetragonal. The energy above the most stable polymorph in this dataset comes out at 0 meV/atom. For the formation energy, the calculation gives 22.7 kJ/mol of atoms.

abc: 3.5987 3.5987 13.0691
angles: 90.00 90.00 90.00
Last column: nearest neighbours and their distance in Å.
Fractional coordinates of all 6 atoms:
1 Ca 0.0000 0.0000 0.0000  4 Mn 3.22, 4 Ca 3.60, 1 Y 3.60
2 Ca 0.5000 0.5000 0.5000  4 Mn 3.22, 4 Ca 3.60, 1 Y 3.60
3 Y 0.0000 0.0000 0.2754  4 Mn 3.02
4 Y 0.5000 0.5000 0.7754  4 Mn 3.02
5 Mn 0.0000 0.0000 0.6513  4 Y 3.02, 4 Ca 3.22
6 Mn 0.5000 0.5000 0.1513  4 Y 3.02, 4 Ca 3.22

***

# 10
Below is a relaxed CaY2Mn crystal, with properties calculated at the PBE level.

Output
Its total moment is 12.0 Bohr magnetons per cell. Its crystal system is cubic. The energy above the most stable polymorph in this dataset comes out at 185 meV/atom. For the formation energy, the calculation gives 30.5 kJ/mol of atoms.

abc: 7.6539 7.6539 7.6539
angles: 90.00 90.00 90.00
Last column: nearest neighbours and their distance in Å.
Fractional coordinates of all 16 atoms:
1 Ca 0.0000 0.0000 0.0000  8 Y 3.31
2 Ca 0.0000 0.5000 0.5000  8 Y 3.31
3 Ca 0.5000 0.0000 0.5000  8 Y 3.31
4 Ca 0.5000 0.5000 0.0000  8 Y 3.31
5 Y 0.2500 0.2500 0.2500  4 Mn 3.31, 4 Ca 3.31
6 Y 0.2500 0.2500 0.7500  4 Mn 3.31, 4 Ca 3.31
7 Y 0.2500 0.7500 0.2500  4 Mn 3.31, 4 Ca 3.31
8 Y 0.2500 0.7500 0.7500  4 Mn 3.31, 4 Ca 3.31
9 Y 0.7500 0.2500 0.2500  4 Mn 3.31, 4 Ca 3.31
10 Y 0.7500 0.2500 0.7500  4 Mn 3.31, 4 Ca 3.31
11 Y 0.7500 0.7500 0.2500  4 Mn 3.31, 4 Ca 3.31
12 Y 0.7500 0.7500 0.7500  4 Mn 3.31, 4 Ca 3.31
13 Mn 0.0000 0.0000 0.5000  8 Y 3.31
14 Mn 0.0000 0.5000 0.0000  8 Y 3.31
15 Mn 0.5000 0.0000 0.0000  8 Y 3.31
16 Mn 0.5000 0.5000 0.5000  8 Y 3.31

***

# 11
Below is a relaxed CaYMn2 crystal, with properties calculated at the PBE level.

Output
Its total moment is 21.4 Bohr magnetons per cell. Its crystal system is trigonal. For the formation energy, the calculation gives 57.7 kJ/mol of atoms.

abc: 3.4213 3.4213 29.0777
angles: 90.00 90.00 120.00
Last column: nearest neighbours and their distance in Å.
Fractional coordinates of all 12 atoms:
1 Ca 0.0000 0.0000 0.0000  6 Mn 3.21, 6 Ca 3.42
2 Ca 0.3333 0.6667 0.6667  6 Mn 3.21, 6 Ca 3.42
3 Ca 0.6667 0.3333 0.3333  6 Mn 3.21, 6 Ca 3.42
4 Y 0.0000 0.0000 0.5000  6 Mn 3.05
5 Y 0.3333 0.6667 0.1667  6 Mn 3.05
6 Y 0.6667 0.3333 0.8333  6 Mn 3.05
7 Mn 0.0000 0.0000 0.2465  3 Y 3.05, 3 Ca 3.21
8 Mn 0.0000 0.0000 0.7535  3 Y 3.05, 3 Ca 3.21
9 Mn 0.3333 0.6667 0.4202  3 Y 3.05, 3 Ca 3.21
10 Mn 0.3333 0.6667 0.9131  3 Y 3.05, 3 Ca 3.21
11 Mn 0.6667 0.3333 0.0869  3 Y 3.05, 3 Ca 3.21
12 Mn 0.6667 0.3333 0.5798  3 Y 3.05, 3 Ca 3.21

***

# 12
Below is a relaxed CaY2Mn crystal, with properties calculated at the PBE level.

Output
Its total moment is 6.8 Bohr magnetons per cell. Its crystal system is orthorhombic. The energy above the most stable polymorph in this dataset comes out at 99 meV/atom. For the formation energy, the calculation gives 22.2 kJ/mol of atoms.

abc: 3.6615 5.6224 11.3273
angles: 90.00 90.00 90.00
Last column: nearest neighbours and their distance in Å.
Fractional coordinates of all 8 atoms:
1 Ca 0.0000 0.0000 0.0000  4 Mn 3.35, 2 Ca 3.66, 4 Y 3.66
2 Ca 0.5000 0.5000 0.5000  4 Mn 3.35, 2 Ca 3.66, 4 Y 3.66
3 Y 0.0000 0.5000 0.2071  2 Mn 2.98
4 Y 0.0000 0.5000 0.7929  2 Mn 2.98
5 Y 0.5000 0.0000 0.2929  2 Mn 2.98
6 Y 0.5000 0.0000 0.7071  2 Mn 2.98
7 Mn 0.0000 0.0000 0.5000  4 Y 2.98
8 Mn 0.5000 0.5000 0.0000  4 Y 2.98

***

# 13
Below is a relaxed CaY2Mn crystal, with properties calculated at the PBE level.

Output
Its total moment is 7.4 Bohr magnetons per cell. Its crystal system is monoclinic. The energy above the most stable polymorph in this dataset comes out at 296 meV/atom. For the formation energy, the calculation gives 41.2 kJ/mol of atoms.

abc: 6.6230 11.1461 3.4278
angles: 90.00 112.04 90.00
Last column: nearest neighbours and their distance in Å.
Fractional coordinates of all 8 atoms:
1 Ca 0.0000 0.0000 0.0000  2 Mn 3.31, 4 Y 3.36, 2 Ca 3.43
2 Ca 0.5000 0.5000 0.0000  2 Mn 3.31, 4 Y 3.36, 2 Ca 3.43
3 Y 0.2500 0.2500 0.5000  4 Y 3.31-3.43, 2 Mn 3.36, 2 Ca 3.36
4 Y 0.2500 0.7500 0.5000  4 Y 3.31-3.43, 2 Mn 3.36, 2 Ca 3.36
5 Y 0.7500 0.2500 0.5000  4 Y 3.31-3.43, 2 Mn 3.36, 2 Ca 3.36
6 Y 0.7500 0.7500 0.5000  4 Y 3.31-3.43, 2 Mn 3.36, 2 Ca 3.36
7 Mn 0.0000 0.5000 0.0000  2 Ca 3.31, 4 Y 3.36, 2 Mn 3.43
8 Mn 0.5000 0.0000 0.0000  2 Ca 3.31, 4 Y 3.36, 2 Mn 3.43

***

# 14
Below is a relaxed CaY2Mn crystal, with properties calculated at the PBE level.

Output
Its total moment is 3.6 Bohr magnetons per cell. Its crystal system is tetragonal. The energy above the most stable polymorph in this dataset comes out at 192 meV/atom. For the formation energy, the calculation gives 31.1 kJ/mol of atoms.

abc: 5.2173 5.2173 4.1748
angles: 90.00 90.00 90.00
Last column: nearest neighbours and their distance in Å.
Fractional coordinates of all 4 atoms:
1 Ca 0.0000 0.0000 0.0000  8 Y 3.34, 4 Mn 3.69
2 Y 0.0000 0.5000 0.5000  4 Mn 3.34, 4 Ca 3.34, 4 Y 3.69
3 Y 0.5000 0.0000 0.5000  4 Mn 3.34, 4 Ca 3.34, 4 Y 3.69
4 Mn 0.5000 0.5000 0.0000  8 Y 3.34, 4 Ca 3.69

***

# 15
Below is a relaxed Ca2YMn2 crystal, with properties calculated at the PBE level.

Output
Its total moment is 13.9 Bohr magnetons per cell. Its crystal system is tetragonal. The energy above the most stable polymorph in this dataset comes out at 0 meV/atom. For the formation energy, the calculation gives 47.8 kJ/mol of atoms.

abc: 8.7291 8.7291 3.4186
angles: 90.00 90.00 90.00
Last column: nearest neighbours and their distance in Å.
Fractional coordinates of all 10 atoms:
1 Ca 0.1326 0.3674 0.0000  6 Mn 2.99-3.15, 1 Ca 3.27
2 Ca 0.3674 0.8674 0.0000  6 Mn 2.99-3.15, 1 Ca 3.27
3 Ca 0.6326 0.1326 0.0000  6 Mn 2.99-3.15, 1 Ca 3.27
4 Ca 0.8674 0.6326 0.0000  6 Mn 2.99-3.15, 1 Ca 3.27
5 Y 0.0000 0.0000 0.0000  4 Ca 3.41, 2 Y 3.42, 8 Mn 3.67
6 Y 0.5000 0.5000 0.0000  4 Ca 3.41, 2 Y 3.42, 8 Mn 3.67
7 Mn 0.1684 0.6684 0.5000  6 Ca 2.99-3.15
8 Mn 0.3316 0.1684 0.5000  6 Ca 2.99-3.15
9 Mn 0.6684 0.8316 0.5000  6 Ca 2.99-3.15
10 Mn 0.8316 0.3316 0.5000  6 Ca 2.99-3.15